First-principles (PBE-GGA) data for crystalline Na2BeZnW at its relaxed geometry, as listed in Alexandria.

**Formation enthalpy at 0 K**: 1.263 eV per atom
**Uncorrected energy**: -0.210 Ry/atom
**ρ**: 5.0 g cm⁻³
**ΔE to the lowest computed polymorph**: 0 meV per atom
**SG**: P4/mmm (123)

Cell: 4.686 4.686 4.577 Å, 90.00 90.00 90.00°
Atoms (fractional coordinates):
Na (0.000, 0.500, 0.000)
Na (0.500, 0.000, 0.000)
Be (0.000, 0.000, 0.000)
Zn (0.500, 0.500, 0.500)
W (0.000, 0.000, 0.500)


First-principles (PBE-GGA) data for crystalline Na2BeZnW at its relaxed geometry, as listed in Alexandria.

**Formation enthalpy at 0 K**: 1.896 eV per atom
**Uncorrected energy**: -0.163 Ry/atom
**ρ**: 3.0 g cm⁻³
**ΔE to the lowest computed polymorph**: 633 meV per atom
**SG**: P4/mmm (123)

Cell: 5.816 5.816 5.020 Å, 90.00 90.00 90.00°
Atoms (fractional coordinates):
Na (0.000, 0.500, 0.000)
Na (0.500, 0.000, 0.000)
Be (0.000, 0.000, 0.500)
Zn (0.500, 0.500, 0.500)
W (0.500, 0.500, 0.000)


First-principles (PBE-GGA) data for crystalline Na3YBe at its relaxed geometry, as listed in Alexandria.

**Formation enthalpy at 0 K**: 1.508 eV per atom
**Uncorrected energy**: -0.097 Ry/atom
**ρ**: 1.0 g cm⁻³
**ΔE to the lowest computed polymorph**: 731 meV per atom
**SG**: Pm-3m (221)

Cell: 6.621 6.621 6.621 Å, 90.00 90.00 90.00°
Atoms (fractional coordinates):
Na (0.000, 0.000, 0.500)
Na (0.000, 0.500, 0.000)
Na (0.500, 0.000, 0.000)
Y (0.000, 0.000, 0.000)
Be (0.500, 0.500, 0.500)


Q: Which value of ΔE to the lowest computed polymorph does entry 3 give?
A: 731 meV per atom


Q: Which value of ρ does entry 1 give?
A: 5.0 g cm⁻³